Record 1
Compound: K3Pu3TaS8
Source: the Alexandria database
Functional: PBE
Structure: optimized geometry

## Properties
ΔE_f (raw): -1.459 eV per atom
Calculated density: 5.239 g cm⁻³

Unit cell a=8.793 b=8.793 c=8.793 alpha=53.52 beta=53.52 gamma=53.52
Element x y z (fractional)
K (0.000, 0.500, 0.500)
K (0.500, 0.000, 0.500)
K (0.500, 0.500, 0.000)
Pu (0.000, 0.000, 0.500)
Pu (0.000, 0.500, 0.000)
Pu (0.500, 0.000, 0.000)
Ta (0.500, 0.500, 0.500)
S (0.235, 0.235, 0.235)
S (0.258, 0.715, 0.715)
S (0.285, 0.285, 0.742)
S (0.285, 0.742, 0.285)
S (0.715, 0.258, 0.715)
S (0.715, 0.715, 0.258)
S (0.742, 0.285, 0.285)
S (0.765, 0.765, 0.765)



Record 2
Compound: K4Pu3TaS8
Source: the Alexandria database
Functional: PBE
Structure: optimized geometry

## Properties
ΔE_f (raw): -1.427 eV per atom
Calculated density: 5.433 g cm⁻³

Unit cell a=8.688 b=8.688 c=8.688 alpha=54.59 beta=54.59 gamma=54.59
Element x y z (fractional)
K (0.000, 0.000, 0.000)
K (0.000, 0.500, 0.500)
K (0.500, 0.000, 0.500)
K (0.500, 0.500, 0.000)
Pu (0.000, 0.000, 0.500)
Pu (0.000, 0.500, 0.000)
Pu (0.500, 0.000, 0.000)
Ta (0.500, 0.500, 0.500)
S (0.235, 0.235, 0.235)
S (0.257, 0.720, 0.720)
S (0.280, 0.280, 0.743)
S (0.280, 0.743, 0.280)
S (0.720, 0.257, 0.720)
S (0.720, 0.720, 0.257)
S (0.743, 0.280, 0.280)
S (0.765, 0.765, 0.765)



Record 3
Compound: KTb4PuS8
Source: the Alexandria database
Functional: PBE
Structure: optimized geometry

## Properties
ΔE_f (raw): -1.843 eV per atom
Calculated density: 4.885 g cm⁻³

Unit cell a=8.297 b=8.297 c=8.297 alpha=59.53 beta=59.53 gamma=59.53
Element x y z (fractional)
K (0.000, 0.000, 0.000)
Tb (0.113, 0.630, 0.630)
Tb (0.251, 0.251, 0.251)
Tb (0.630, 0.113, 0.630)
Tb (0.630, 0.630, 0.113)
Pu (0.628, 0.628, 0.628)
S (0.380, 0.380, 0.854)
S (0.380, 0.854, 0.380)
S (0.383, 0.383, 0.383)
S (0.427, 0.858, 0.858)
S (0.854, 0.380, 0.380)
S (0.858, 0.427, 0.858)
S (0.858, 0.858, 0.427)
S (0.859, 0.859, 0.859)



Record 4
Compound: K3TbPu2S6
Source: the Alexandria database
Functional: PBE
Structure: optimized geometry

## Properties
ΔE_f (raw): -1.680 eV per atom
Calculated density: 4.950 g cm⁻³

Unit cell a=7.102 b=7.102 c=7.718 alpha=98.82 beta=98.82 gamma=120.00
Element x y z (fractional)
K (0.000, 0.000, 0.000)
K (0.333, 0.667, 0.000)
K (0.667, 0.333, 0.000)
Tb (0.500, 0.500, 0.500)
Pu (0.167, 0.833, 0.500)
Pu (0.833, 0.167, 0.500)
S (0.100, 0.433, 0.299)
S (0.234, 0.234, 0.701)
S (0.433, 0.100, 0.299)
S (0.567, 0.900, 0.701)
S (0.766, 0.766, 0.299)
S (0.900, 0.567, 0.701)



Record 5
Compound: K2TbPuS4
Source: the Alexandria database
Functional: PBE
Structure: optimized geometry

## Properties
ΔE_f (raw): -1.725 eV per atom
Calculated density: 4.729 g cm⁻³

Unit cell a=7.107 b=4.099 c=7.720 alpha=90.00 beta=107.89 gamma=90.00
Element x y z (fractional)
K (0.000, 0.000, 0.000)
K (0.500, 0.500, 0.000)
Tb (0.000, 0.500, 0.500)
Pu (0.500, 0.000, 0.500)
S (0.232, 0.000, 0.703)
S (0.266, 0.500, 0.300)
S (0.734, 0.500, 0.700)
S (0.768, 0.000, 0.297)



Record 6
Compound: K3TbPu3S8
Source: the Alexandria database
Functional: PBE
Structure: optimized geometry

## Properties
ΔE_f (raw): -1.352 eV per atom
Calculated density: 5.166 g cm⁻³

Unit cell a=8.168 b=8.168 c=7.152 alpha=92.38 beta=92.38 gamma=58.52
Element x y z (fractional)
K (0.000, 0.000, 0.000)
K (0.000, 0.500, 0.500)
K (0.500, 0.000, 0.500)
Tb (0.000, 0.000, 0.500)
Pu (0.000, 0.500, 0.000)
Pu (0.500, 0.000, 0.000)
Pu (0.500, 0.500, 0.500)
S (0.169, 0.671, 0.283)
S (0.177, 0.177, 0.213)
S (0.329, 0.831, 0.717)
S (0.333, 0.333, 0.805)
S (0.667, 0.667, 0.195)
S (0.671, 0.169, 0.283)
S (0.823, 0.823, 0.787)
S (0.831, 0.329, 0.717)